1.
A relaxed structure of Ac2AlSi2. Source: Alexandria via LeMat-Bulk, functional GGA-PBE.

Geometry as POSCAR:
```
Ac2AlSi2
1.0
4.395 0.000 0.000
0.000 2.127 7.106
0.000 -2.127 7.106
Ac Al Si
2 1 2
Direct
0.000 0.000 0.000 Ac
0.000 0.239 0.239 Ac
0.500 0.419 0.419 Al
0.500 0.609 0.609 Si
0.500 0.821 0.821 Si
```

Output
- density (kg/m3) = 6714
- D(E_F) (states/eV per cell) = 2.52
- raw formation energy (kcal/mol of atoms) = -9.7


2.
A relaxed structure of Pm3TlC. Source: Alexandria via LeMat-Bulk, functional GGA-PBE.

Geometry as POSCAR:
```
Pm3TlC
1.0
5.088 0.000 0.000
0.000 5.088 0.000
0.000 0.000 5.088
Pm Tl C
3 1 1
Direct
0.000 0.000 0.500 Pm
0.000 0.500 0.000 Pm
0.500 0.000 0.000 Pm
0.500 0.500 0.500 Tl
0.000 0.000 0.000 C
```

Output
- density (kg/m3) = 8213
- energy of formation from the pure elements (eV per atom) = -0.320
- D(E_F) (states/eV per cell) = 1.99


3.
A relaxed structure of NaMnP2Se8. Source: Alexandria via LeMat-Bulk, functional GGA-PBE.

Geometry as POSCAR:
```
NaMnP2Se8
1.0
3.003 1.734 10.052
-3.003 1.734 10.052
0.000 -3.468 10.052
Na Mn P Se
1 1 2 8
Direct
0.000 0.000 0.000 Na
0.500 0.500 0.500 Mn
0.239 0.239 0.239 P
0.761 0.761 0.761 P
0.146 0.415 0.790 Se
0.210 0.854 0.585 Se
0.310 0.310 0.310 Se
0.415 0.790 0.146 Se
0.585 0.210 0.854 Se
0.690 0.690 0.690 Se
0.790 0.146 0.415 Se
0.854 0.585 0.210 Se
```

Output
- density (kg/m3) = 4080
- D(E_F) (states/eV per cell) = 6.74
- raw formation energy (kcal/mol of atoms) = -4.0


Per-record total DFT energy (no corrections), Ry per atom: -0.3660 -0.4034 -0.3140